Here is a crystal of TaCoPt2 relaxed with PBEsol from the Alexandria database. Energies are from SCAN.

a b c (Å): 2.7514 4.3912 4.7930
angles (deg): 90.00 90.00 90.00
Last column: nearest neighbours and their distance in Å.
Space group Pmm2 (No. 25)
Inequivalent atoms, fractional coordinates:
1 Ta 0.0000 0.0000 0.0000 (multiplicity 1)  8 Pt 2.68-2.85, 2 Co 2.69, 2 Ta 2.75
2 Co 0.0000 0.5000 0.6748 (multiplicity 1)  2 Ta 2.69, 8 Pt 2.69-2.79, 2 Co 2.75
3 Pt 0.5000 0.0000 0.5207 (multiplicity 1)  4 Ta 2.68-2.85, 4 Co 2.69, 4 Pt 2.73-2.75
4 Pt 0.5000 0.5000 0.1813 (multiplicity 1)  4 Pt 2.73-2.75, 4 Ta 2.73, 4 Co 2.74-2.79

Properties
**ΔE_f**: -0.541 eV/atom
**Crystal system**: orthorhombic